# PBE-GGA MnBe2W, relaxed
data_MnBe2W
_chemical_formula_sum 'Mn2 Be4 W2'
_space_group_name_H-M_alt 'C m m m'
_space_group_IT_number 65
_space_group_name_Hall '-C 2 2'
_cell_length_a 5.6057
_cell_length_b 6.0810
_cell_length_c 2.6767
_cell_angle_alpha 90.00
_cell_angle_beta 90.00
_cell_angle_gamma 90.00
loop_
_atom_site_label
_atom_site_fract_x
_atom_site_fract_y
_atom_site_fract_z
_atom_site_occupancy
Mn1 0.0000 0.0000 0.0000 1
Be1 0.2500 0.2500 0.5000 1
W1 0.0000 0.5000 0.0000 1
# Energy above the most stable polymorph in this dataset (meV/atom): 178
# E_tot (eV/atom): -7.2580
# Density (Mg/m³): 9.3
# Magnetic moment (μB per formula unit): 3.1
# Energy of formation from the pure elements (eV per atom): 0.14

---

# PBE-GGA Pu2MgAl4Au3, relaxed
data_Pu2MgAl4Au3
_chemical_formula_sum 'Pu2 Mg1 Al4 Au3'
_space_group_name_H-M_alt 'P -4 m 2'
_space_group_IT_number 115
_space_group_name_Hall 'P -4 -2'
_cell_length_a 4.2564
_cell_length_b 4.2564
_cell_length_c 11.3653
_cell_angle_alpha 90.00
_cell_angle_beta 90.00
_cell_angle_gamma 90.00
loop_
_atom_site_label
_atom_site_fract_x
_atom_site_fract_y
_atom_site_fract_z
_atom_site_occupancy
Pu1 0.0000 0.5000 0.2432 1
Mg1 0.0000 0.0000 0.5000 1
Al1 0.0000 0.0000 0.0000 1
Al2 0.0000 0.5000 0.6484 1
Al3 0.5000 0.5000 0.0000 1
Au1 0.0000 0.5000 0.8693 1
Au2 0.5000 0.5000 0.5000 1
# E_tot (eV/atom): -5.9215
# Density (Mg/m³): 9.8
# Magnetic moment (μB per formula unit): 11.3
# Energy of formation from the pure elements (eV per atom): -0.42

---

# PBE-GGA PmUTaN3, relaxed
data_PmUTaN3
_chemical_formula_sum 'Pm2 U2 Ta2 N6'
_space_group_name_H-M_alt 'P 1 21/m 1'
_space_group_IT_number 11
_space_group_name_Hall '-P 2yb'
_cell_length_a 7.1914
_cell_length_b 3.2618
_cell_length_c 8.1908
_cell_angle_alpha 90.00
_cell_angle_beta 92.69
_cell_angle_gamma 90.00
loop_
_atom_site_label
_atom_site_fract_x
_atom_site_fract_y
_atom_site_fract_z
_atom_site_occupancy
Pm1 0.1184 0.2500 0.3361 1
U1 0.3924 0.7500 0.6631 1
Ta1 0.1541 0.2500 0.9354 1
N1 0.1329 0.7500 0.1008 1
N2 0.1660 0.2500 0.6631 1
N3 0.3913 0.7500 0.3976 1
# E_tot (eV/atom): -9.8167
# Density (Mg/m³): 10.5
# Magnetic moment (μB per formula unit): 1.2